{
  "formula": "Rb2SiICl5",
  "functional": "PBE",
  "state": "optimized geometry",
  "mass_density_kg_m3": 2902,
  "n_ef_per_ev_cell": 0.00,
  "magmom_total_mub_per_cell": 0.00,
  "total_energy_ev_per_atom": -3.388,
  "lattice_angstrom": [[-0.420, 3.745, 6.357], [5.333, -5.037, -0.897], [2.100, 3.518, -6.150]],
  "species": ["Cl", "Cl", "Cl", "Cl", "Rb", "Cl", "Si", "Rb", "I"],
  "frac_coords": [[0.576, 0.792, 0.792], [0.000, 0.217, 0.792], [0.000, 0.223, 0.223], [0.424, 0.217, 0.217], [0.500, 0.252, 0.752], [0.000, 0.792, 0.217], [0.000, 0.009, 0.009], [0.500, 0.752, 0.252], [0.000, 0.745, 0.745]]
}